Entry 1:
First-principles (PBE-GGA) data for a geometry-optimized NbSe2F5 structure, as listed in Alexandria via LeMat-Bulk. Values from VASP.

Results
N(E_F)	2.36	states/eV/f.u.
raw total energy	-5.46	eV/atom
E_form (uncorrected)	-1666	kJ/mol of formula units

Quantum ESPRESSO input file:
```
&SYSTEM
  ibrav = 0, nat = 8, ntyp = 3
/
ATOMIC_SPECIES
F 19.00 F.upf
Se 78.96 Se.upf
Nb 92.91 Nb.upf
CELL_PARAMETERS angstrom
3.662 -0.214 1.921
1.673 6.458 0.664
-1.474 -0.318 7.499
ATOMIC_POSITIONS crystal
F 0.442 0.997 0.006
F 0.726 0.996 0.261
F 0.927 0.279 0.015
F 0.141 0.714 0.990
F 0.991 0.994 0.749
Se 0.291 0.571 0.429
Se 0.771 0.452 0.546
Nb 0.935 0.996 0.005
```

***

Entry 2:
First-principles (PBE-GGA) data for a geometry-optimized NbTe2SeF structure, as listed in Alexandria via LeMat-Bulk. Values from VASP.

Results
N(E_F)	5.17	states/eV/f.u.
raw total energy	-4.54	eV/atom
E_form (uncorrected)	-96	kJ/mol of formula units

Quantum ESPRESSO input file:
```
&SYSTEM
  ibrav = 0, nat = 5, ntyp = 4
/
ATOMIC_SPECIES
Te 127.60 Te.upf
Nb 92.91 Nb.upf
Se 78.96 Se.upf
F 19.00 F.upf
CELL_PARAMETERS angstrom
5.373 0.000 0.000
0.000 4.933 0.000
0.000 0.000 5.373
ATOMIC_POSITIONS crystal
Te 0.500 0.000 0.000
Te 0.000 0.000 0.500
Nb 0.000 0.000 0.000
Se 0.000 0.500 0.000
F 0.500 0.500 0.500
```

***

Entry 3:
First-principles (PBE-GGA) data for a geometry-optimized NbZnSe2F structure, as listed in Alexandria via LeMat-Bulk. Values from VASP.

Results
N(E_F)	4.94	states/eV/f.u.
raw total energy	-3.98	eV/atom
E_form (uncorrected)	29	kJ/mol of formula units

Quantum ESPRESSO input file:
```
&SYSTEM
  ibrav = 0, nat = 5, ntyp = 4
/
ATOMIC_SPECIES
F 19.00 F.upf
Se 78.96 Se.upf
Nb 92.91 Nb.upf
Zn 65.41 Zn.upf
CELL_PARAMETERS angstrom
-3.360 -2.244 3.364
0.067 -3.235 -2.090
4.043 -1.764 2.861
ATOMIC_POSITIONS crystal
F 0.000 0.000 0.000
Se 0.000 0.000 0.500
Se 0.500 0.000 0.000
Nb 0.000 0.500 0.000
Zn 0.500 0.500 0.500
```

***

Entry 4:
First-principles (PBE-GGA) data for a geometry-optimized Nb2SiF structure, as listed in Alexandria via LeMat-Bulk. Values from VASP.

Results
N(E_F)	4.51	states/eV/f.u.
raw total energy	-6.94	eV/atom
relative energy among the computed polymorphs	1.936	eV per formula unit
E_form (uncorrected)	-32	kJ/mol of formula units

Quantum ESPRESSO input file:
```
&SYSTEM
  ibrav = 0, nat = 8, ntyp = 3
/
ATOMIC_SPECIES
Nb 92.91 Nb.upf
F 19.00 F.upf
Si 28.09 Si.upf
CELL_PARAMETERS angstrom
-1.000 -1.848 -3.506
0.399 -3.644 1.808
-8.155 -2.546 1.287
ATOMIC_POSITIONS crystal
Nb 0.129 0.625 0.250
Nb 0.621 0.125 0.250
Nb 0.375 0.379 0.750
Nb 0.875 0.871 0.750
F 0.250 0.750 0.500
F 0.500 0.500 0.000
Si 0.000 0.000 0.000
Si 0.750 0.250 0.500
```

***

Entry 5:
First-principles (PBE-GGA) data for a geometry-optimized Nb2SiF structure, as listed in Alexandria via LeMat-Bulk. Values from VASP.

Results
N(E_F)	4.56	states/eV/f.u.
raw total energy	-7.42	eV/atom
relative energy among the computed polymorphs	0.000	eV per formula unit
E_form (uncorrected)	-218	kJ/mol of formula units

Quantum ESPRESSO input file:
```
&SYSTEM
  ibrav = 0, nat = 4, ntyp = 3
/
ATOMIC_SPECIES
Nb 92.91 Nb.upf
F 19.00 F.upf
Si 28.09 Si.upf
CELL_PARAMETERS angstrom
0.000 3.100 3.100
3.100 0.000 3.100
3.100 3.100 0.000
ATOMIC_POSITIONS crystal
Nb 0.250 0.250 0.250
Nb 0.750 0.750 0.750
F 0.000 0.000 0.000
Si 0.500 0.500 0.500
```

***

Entry 6:
First-principles (PBE-GGA) data for a geometry-optimized NbSi3F structure, as listed in Alexandria via LeMat-Bulk. Values from VASP.

Results
N(E_F)	4.29	states/eV/f.u.
raw total energy	-5.24	eV/atom
relative energy among the computed polymorphs	0.801	eV per formula unit
E_form (uncorrected)	194	kJ/mol of formula units

Quantum ESPRESSO input file:
```
&SYSTEM
  ibrav = 0, nat = 5, ntyp = 3
/
ATOMIC_SPECIES
Si 28.09 Si.upf
Nb 92.91 Nb.upf
F 19.00 F.upf
CELL_PARAMETERS angstrom
-1.340 0.488 4.636
-4.182 -2.256 -0.971
2.059 -4.266 1.044
ATOMIC_POSITIONS crystal
Si 0.000 0.500 0.000
Si 0.000 0.000 0.500
Si 0.500 0.000 0.000
Nb 0.000 0.000 0.000
F 0.500 0.500 0.500
```

***

Entry 7:
First-principles (PBE-GGA) data for a geometry-optimized NbSi3F structure, as listed in Alexandria via LeMat-Bulk. Values from VASP.

Results
N(E_F)	4.19	states/eV/f.u.
raw total energy	-5.40	eV/atom
relative energy among the computed polymorphs	0.000	eV per formula unit
E_form (uncorrected)	117	kJ/mol of formula units

Quantum ESPRESSO input file:
```
&SYSTEM
  ibrav = 0, nat = 5, ntyp = 3
/
ATOMIC_SPECIES
F 19.00 F.upf
Si 28.09 Si.upf
Nb 92.91 Nb.upf
CELL_PARAMETERS angstrom
4.225 0.000 0.000
0.000 4.225 0.000
0.000 0.000 4.225
ATOMIC_POSITIONS crystal
F 0.000 0.000 0.000
Si 0.500 0.000 0.000
Si 0.000 0.000 0.500
Si 0.000 0.500 0.000
Nb 0.500 0.500 0.500
```

***

Entry 8:
First-principles (PBE-GGA) data for a geometry-optimized Ta2NbSiF structure, as listed in Alexandria via LeMat-Bulk. Values from VASP.

Results
N(E_F)	4.19	states/eV/f.u.
raw total energy	-8.23	eV/atom
E_form (uncorrected)	-6	kJ/mol of formula units

Quantum ESPRESSO input file:
```
&SYSTEM
  ibrav = 0, nat = 5, ntyp = 4
/
ATOMIC_SPECIES
Si 28.09 Si.upf
Nb 92.91 Nb.upf
F 19.00 F.upf
Ta 180.95 Ta.upf
CELL_PARAMETERS angstrom
-2.697 -2.790 -1.336
1.574 0.630 -4.491
2.786 -2.961 0.561
ATOMIC_POSITIONS crystal
Si 0.000 0.500 0.000
Nb 0.500 0.500 0.500
F 0.000 0.000 0.000
Ta 0.500 0.000 0.000
Ta 0.000 0.000 0.500
```